[1]
A plane-wave DFT calculation with PBE was carried out for Ca4GaSn after structural relaxation.

```
Ca4GaSn
1.0
4.894 -7.080 0.000
4.894 7.080 0.000
-3.309 0.000 5.770
Ca Ga Sn
8 2 2
direct
0.049 0.706 0.920
0.237 0.355 0.718
0.294 0.951 0.580
0.355 0.237 0.218
0.645 0.763 0.782
0.706 0.049 0.420
0.763 0.645 0.282
0.951 0.294 0.080
0.009 0.991 0.750
0.991 0.009 0.250
0.361 0.639 0.250
0.639 0.361 0.750
```

Properties
Total DFT energy (no corrections) = -2.956 eV/atom
M_tot = 0.0 μB/cell
ρ = 2.896 g cm⁻³
Calculated formation energy = -2.70 eV/f.u.



[2]
A plane-wave DFT calculation with PBE was carried out for Ca4GaSn after structural relaxation.

```
Ca4GaSn
1.0
5.270 0.000 0.000
2.624 4.571 0.000
2.623 1.484 8.260
Ca Ga Sn
4 1 1
direct
0.122 0.123 0.132
0.296 0.296 0.614
0.704 0.704 0.386
0.878 0.877 0.868
0.000 0.000 0.500
0.500 0.500 0.000
```

Properties
Total DFT energy (no corrections) = -2.845 eV/atom
M_tot = 0.0 μB/cell
ρ = 2.911 g cm⁻³
Calculated formation energy = -2.03 eV/f.u.



[3]
A plane-wave DFT calculation with PBE was carried out for Ca2GaSn after structural relaxation.

```
Ca2GaSn
1.0
1.835 1.060 10.852
-1.835 1.060 10.852
0.000 -2.119 10.852
Ca Ga Sn
2 1 1
direct
0.098 0.098 0.098
0.902 0.902 0.902
0.500 0.500 0.500
0.000 0.000 0.000
```

Properties
Total DFT energy (no corrections) = -2.841 eV/atom
M_tot = 0.0 μB/cell
ρ = 3.523 g cm⁻³
Calculated formation energy = -0.33 eV/f.u.



[4]
A plane-wave DFT calculation with PBE was carried out for Ca2Ga2Sn after structural relaxation.

```
Ca2Ga2Sn
1.0
-1.871 1.871 9.529
1.871 -1.871 9.529
1.871 1.871 -9.529
Ca Ga Sn
2 2 1
direct
0.107 0.107 0.000
0.893 0.893 0.000
0.250 0.750 0.500
0.750 0.250 0.500
0.500 0.500 0.000
```

Properties
Total DFT energy (no corrections) = -3.186 eV/atom
M_tot = 0.0 μB/cell
ρ = 4.213 g cm⁻³
Calculated formation energy = -1.87 eV/f.u.



[5]
A plane-wave DFT calculation with PBE was carried out for Ca2GaSn after structural relaxation.

```
Ca2GaSn
1.0
0.000 3.774 3.774
3.774 0.000 3.774
3.774 3.774 0.000
Ca Ga Sn
2 1 1
direct
0.250 0.250 0.250
0.750 0.750 0.750
0.000 0.000 0.000
0.500 0.500 0.500
```

Properties
Total DFT energy (no corrections) = -3.284 eV/atom
M_tot = 0.0 μB/cell
ρ = 4.148 g cm⁻³
Calculated formation energy = -2.10 eV/f.u.



[6]
A plane-wave DFT calculation with PBE was carried out for CaGa2Sn after structural relaxation.

```
CaGa2Sn
1.0
3.766 0.000 0.000
0.000 3.766 0.000
0.000 0.000 6.744
Ca Ga Sn
1 2 1
direct
0.000 0.000 0.000
0.500 0.500 0.292
0.500 0.500 0.708
0.000 0.000 0.500
```

Properties
Total DFT energy (no corrections) = -3.274 eV/atom
M_tot = 0.0 μB/cell
ρ = 5.176 g cm⁻³
Calculated formation energy = -1.04 eV/f.u.



[7]
A plane-wave DFT calculation with PBE was carried out for Ca2GaSn after structural relaxation.

```
Ca2GaSn
1.0
-4.163 4.163 3.447
4.163 -4.163 3.447
4.163 4.163 -3.447
Ca Ga Sn
4 2 2
direct
0.111 0.625 0.986
0.375 0.361 0.486
0.639 0.125 0.014
0.875 0.889 0.514
0.000 0.000 0.000
0.750 0.250 0.500
0.250 0.750 0.500
0.500 0.500 0.000
```

Properties
Total DFT energy (no corrections) = -2.937 eV/atom
M_tot = 0.0 μB/cell
ρ = 3.734 g cm⁻³
Calculated formation energy = -0.72 eV/f.u.



[8]
A plane-wave DFT calculation with PBE was carried out for SrCa2Ga2Sn2 after structural relaxation.

```
SrCa2Ga2Sn2
1.0
2.237 1.291 12.776
-2.237 1.291 12.776
0.000 -2.583 12.776
Sr Ca Ga Sn
1 2 2 2
direct
0.000 0.000 0.000
0.122 0.122 0.122
0.878 0.878 0.878
0.416 0.416 0.416
0.584 0.584 0.584
0.275 0.275 0.275
0.725 0.725 0.725
```

Properties
Total DFT energy (no corrections) = -3.236 eV/atom
M_tot = 0.0 μB/cell
ρ = 4.084 g cm⁻³
Calculated formation energy = -2.91 eV/f.u.



[9]
A plane-wave DFT calculation with PBE was carried out for CaTlGaSn after structural relaxation.

```
CaTlGaSn
1.0
0.000 3.780 3.780
3.780 0.000 3.780
3.780 3.780 0.000
Ca Tl Ga Sn
1 1 1 1
direct
0.000 0.000 0.000
0.250 0.250 0.250
0.750 0.750 0.750
0.500 0.500 0.500
```

Properties
Total DFT energy (no corrections) = -3.061 eV/atom
M_tot = 0.0 μB/cell
ρ = 6.657 g cm⁻³
Calculated formation energy = -0.85 eV/f.u.



[10]
A plane-wave DFT calculation with PBE was carried out for CaTmGaSn after structural relaxation.

```
CaTmGaSn
1.0
0.000 3.698 3.698
3.698 0.000 3.698
3.698 3.698 0.000
Ca Tm Ga Sn
1 1 1 1
direct
0.000 0.000 0.000
0.500 0.500 0.500
0.750 0.750 0.750
0.250 0.250 0.250
```

Properties
Total DFT energy (no corrections) = -3.869 eV/atom
M_tot = 0.0 μB/cell
ρ = 6.524 g cm⁻³
Calculated formation energy = -1.97 eV/f.u.